{"formula": "ZnFe2Cu", "functional": "PBE-GGA", "state": "optimized geometry", "lattice_angstrom": [[-3.6771, -0.5785, -1.7327], [-0.2587, -1.1226, -3.9409], [-1.2351, -3.7917, -0.9777]], "species": ["Cu", "Fe", "Fe", "Zn"], "fractional_positions": [[0.5000, 0.5000, 0.5000], [0.0000, 0.0000, 0.0000], [0.2500, 0.2500, 0.2500], [0.7500, 0.7500, 0.7500]], "volume_a3_per_cell": 49, "magnetic_moment_mub_per_cell": 4.63, "formation_energy_mev_per_atom": 98}